[1]
The following is a DFT calculation (PBE-GGA) of a relaxed structure of Cd2Ni2Pb.

## Properties
Its space-group type is No. 139. For the spin magnetization, the calculation gives 0.0 μB per formula unit. The calculation puts the calculated total energy at -16.0 eV per cell. The energy above the most stable polymorph in this dataset is 104.6 meV/atom.

```
Cd2Ni2Pb
1.0
-1.6886 1.6886 9.0215
1.6886 -1.6886 9.0215
1.6886 1.6886 -9.0215
Cd Ni Pb
2 2 1
Direct
0.1329 0.1329 0.0000
0.8671 0.8671 0.0000
0.2500 0.7500 0.5000
0.7500 0.2500 0.5000
0.5000 0.5000 0.0000
```


[2]
The following is a DFT calculation (PBE-GGA) of a relaxed structure of Cd2NiPb.

## Properties
Its space-group type is No. 10. For the spin magnetization, the calculation gives 0.0 μB per formula unit. The calculation puts the calculated total energy at -10.5 eV per cell. The energy above the most stable polymorph in this dataset is 132.8 meV/atom.

```
Cd2NiPb
1.0
3.6543 0.0000 0.0000
0.0000 4.6552 0.0000
-1.4806 0.0000 5.1661
Cd Ni Pb
2 1 1
Direct
0.1529 0.0000 0.2832
0.8471 0.0000 0.7168
0.5000 0.5000 0.5000
0.5000 0.5000 0.0000
```


[3]
The following is a DFT calculation (PBE-GGA) of a relaxed structure of Cd2NiPb.

## Properties
Its space-group type is No. 139. For the spin magnetization, the calculation gives 0.0 μB per formula unit. The calculation puts the calculated total energy at -10.4 eV per cell. The energy above the most stable polymorph in this dataset is 161.3 meV/atom.

```
Cd2NiPb
1.0
-2.1139 2.1139 4.6351
2.1139 -2.1139 4.6351
2.1139 2.1139 -4.6351
Cd Ni Pb
2 1 1
Direct
0.2500 0.7500 0.5000
0.7500 0.2500 0.5000
0.0000 0.0000 0.0000
0.5000 0.5000 0.0000
```


[4]
The following is a DFT calculation (PBE-GGA) of a relaxed structure of CdNi2Pb.

## Properties
Its space-group type is No. 99. For the spin magnetization, the calculation gives 0.0 μB per formula unit. The calculation puts the calculated total energy at -15.5 eV per cell. The energy above the most stable polymorph in this dataset is 42.2 meV/atom.

```
CdNi2Pb
1.0
3.1668 0.0000 0.0000
0.0000 3.1668 0.0000
0.0000 0.0000 7.2296
Cd Ni Pb
1 2 1
Direct
0.0000 0.0000 0.0000
0.0000 0.0000 0.3763
0.5000 0.5000 0.2141
0.5000 0.5000 0.6128
```


[5]
The following is a DFT calculation (PBE-GGA) of a relaxed structure of Cd4NiPb.

## Properties
Its space-group type is No. 216. For the spin magnetization, the calculation gives 0.0 μB per formula unit. The calculation puts the calculated total energy at -11.5 eV per cell. The energy above the most stable polymorph in this dataset is 221.1 meV/atom.

```
Cd4NiPb
1.0
0.0000 4.0712 4.0712
4.0712 0.0000 4.0712
4.0712 4.0712 0.0000
Cd Ni Pb
4 1 1
Direct
0.1242 0.1242 0.1242
0.1242 0.1242 0.6274
0.1242 0.6274 0.1242
0.6274 0.1242 0.1242
0.7500 0.7500 0.7500
0.5000 0.5000 0.5000
```


[6]
The following is a DFT calculation (PBE-GGA) of a relaxed structure of Cd2NiPb.

## Properties
Its space-group type is No. 12. For the spin magnetization, the calculation gives 0.0 μB per formula unit. The calculation puts the calculated total energy at -10.8 eV per cell. The energy above the most stable polymorph in this dataset is 56.5 meV/atom.

```
Cd2NiPb
1.0
6.3437 -1.5321 0.0000
6.3437 1.5321 0.0000
-1.7211 0.0000 4.3787
Cd Ni Pb
2 1 1
Direct
0.1970 0.1970 0.1973
0.8030 0.8030 0.8027
0.5000 0.5000 0.0000
0.0000 0.0000 0.5000
```